Entry from Alexandria via LeMat-Bulk: a geometry-optimized Cs3Th2AgTe6 structure (PBE-GGA).

The space group is C2/m (No. 12) and the conventional cell measures 7.9988, 14.0764 and 9.2712 Å, with angles of 90.00, 106.37 and 90.00 degrees. The asymmetric unit holds Cs at (0.0000, 0.0000, 0.0000), Cs at (0.0000, 0.3398, 0.0000), Th at (0.0000, 0.1671, 0.5000), Ag at (0.0000, 0.5000, 0.5000), Te at (0.2291, 0.0000, 0.6844) and Te at (0.2365, 0.3266, 0.6951).

The uncorrected formation energy comes out at -1.054 eV per atom. The crystal system is monoclinic. The value obtained for the density of states at the Fermi level is 0.0 states/eV/cell.

***

Entry from Alexandria via LeMat-Bulk: a geometry-optimized CaSi2Tc structure (PBE-GGA).

The space group is I-42d (No. 122) and the conventional cell measures 4.9864, 4.9864 and 15.4882 Å, with angles of 90.00, 90.00 and 90.00 degrees. The asymmetric unit holds Ca at (0.0000, 0.0000, 0.0000), Si at (0.0016, 0.7500, 0.6250) and Tc at (0.0000, 0.0000, 0.5000).

The value obtained for the energy above the lowest structure with this stoichiometry is 356 meV/atom. The uncorrected formation energy comes out at -0.100 eV per atom. The crystal system is tetragonal. The value obtained for the density of states at the Fermi level is 8.8 states/eV/cell.

***

Entry from Alexandria via LeMat-Bulk: a geometry-optimized RbAgBiS2 structure (PBE-GGA).

The space group is P2/c (No. 13) and the conventional cell measures 7.6413, 4.7507 and 8.5045 Å, with angles of 90.00, 98.87 and 90.00 degrees. The asymmetric unit holds Rb at (0.0000, 0.1500, 0.2500), Ag at (0.5000, 0.0000, 0.0000), Bi at (0.5000, 0.4807, 0.7500) and S at (0.2615, 0.3480, 0.9694).

The uncorrected formation energy comes out at -0.436 eV per atom. The crystal system is monoclinic. The value obtained for the density of states at the Fermi level is 3.1 states/eV/cell.

***

Entry from Alexandria via LeMat-Bulk: a geometry-optimized NaYCr2 structure (PBE-GGA).

The space group is I-42d (No. 122) and the conventional cell measures 3.8824, 3.8824 and 20.2988 Å, with angles of 90.00, 90.00 and 90.00 degrees. The asymmetric unit holds Na at (0.0000, 0.0000, 0.0000), Y at (0.0000, 0.0000, 0.5000) and Cr at (0.1912, 0.2500, 0.6250).

The value obtained for the energy above the lowest structure with this stoichiometry is 470 meV/atom. The crystal system is tetragonal. The value obtained for the density of states at the Fermi level is 22.8 states/eV/cell. Its formation energy is 1.3378 eV/atom.

***

What did the second record say?
Entry from Alexandria via LeMat-Bulk: a geometry-optimized CaSi2Tc structure (PBE-GGA).

The space group is I-42d (No. 122) and the conventional cell measures 4.9864, 4.9864 and 15.4882 Å, with angles of 90.00, 90.00 and 90.00 degrees. The asymmetric unit holds Ca at (0.0000, 0.0000, 0.0000), Si at (0.0016, 0.7500, 0.6250) and Tc at (0.0000, 0.0000, 0.5000).

The value obtained for the energy above the lowest structure with this stoichiometry is 356 meV/atom. The uncorrected formation energy comes out at -0.100 eV per atom. The crystal system is tetragonal. The value obtained for the density of states at the Fermi level is 8.8 states/eV/cell.